# 1
## K2Rb (PBE)

Data for a relaxed structure of K2Rb.

Properties
The total DFT energy (no corrections) comes out at -1.05 eV per atom. For the formation enthalpy at 0 K, the calculation gives 3 meV per atom. The symmetry is I4/mmm, No. 139.

Cell lengths 9.594, 9.594, 9.594 Å; angles 148.99, 148.99, 44.42 degrees
Sites, in units of the cell vectors:
K: 0.173 0.173 0.000
K: 0.827 0.827 0.000
Rb: 0.500 0.500 0.000



# 2
## MnTlHg2 (PBE)

Data for a relaxed structure of MnTlHg2.

Properties
The total DFT energy (no corrections) comes out at -2.81 eV per atom. For the formation enthalpy at 0 K, the calculation gives 221 meV per atom. The symmetry is P4/mmm, No. 123.

Cell lengths 3.339, 3.339, 8.342 Å; angles 90.00, 90.00, 90.00 degrees
Sites, in units of the cell vectors:
Mn: 0.000 0.000 0.000
Tl: 0.000 0.000 0.500
Hg: 0.500 0.500 0.203
Hg: 0.500 0.500 0.797



# 3
## SmGa7Pd5 (PBE)

Data for a relaxed structure of SmGa7Pd5.

Properties
The total DFT energy (no corrections) comes out at -4.59 eV per atom. For the formation enthalpy at 0 K, the calculation gives -602 meV per atom. The symmetry is Imm2, No. 44.

Cell lengths 6.900, 6.900, 6.900 Å; angles 132.86, 96.22, 102.21 degrees
Sites, in units of the cell vectors:
Sm: 0.000 0.000 0.000
Ga: 0.204 0.510 0.694
Ga: 0.328 0.983 0.345
Ga: 0.344 0.344 0.000
Ga: 0.635 0.635 0.000
Ga: 0.638 0.983 0.655
Ga: 0.759 0.259 0.500
Ga: 0.816 0.510 0.306
Pd: 0.228 0.728 0.500
Pd: 0.520 0.002 0.021
Pd: 0.520 0.499 0.518
Pd: 0.981 0.002 0.482
Pd: 0.981 0.499 0.979



# 4
## YThAu2 (PBE)

Data for a relaxed structure of YThAu2.

Properties
The total DFT energy (no corrections) comes out at -5.82 eV per atom. For the formation enthalpy at 0 K, the calculation gives -707 meV per atom. The symmetry is P4/mmm, No. 123.

Cell lengths 3.563, 3.563, 7.702 Å; angles 90.00, 90.00, 90.00 degrees
Sites, in units of the cell vectors:
Y: 0.000 0.000 0.000
Th: 0.000 0.000 0.500
Au: 0.500 0.500 0.231
Au: 0.500 0.500 0.769



# 5
## Nd12Sm7Er (PBE)

Data for a relaxed structure of Nd12Sm7Er.

Properties
The total DFT energy (no corrections) comes out at -4.52 eV per atom. For the formation enthalpy at 0 K, the calculation gives 222 meV per atom. The symmetry is R-3, No. 148.

Cell lengths 8.900, 8.900, 8.900 Å; angles 87.75, 87.75, 87.75 degrees
Sites, in units of the cell vectors:
Nd: 0.009 0.885 0.363
Nd: 0.115 0.637 0.991
Nd: 0.226 0.354 0.756
Nd: 0.244 0.774 0.646
Nd: 0.354 0.756 0.226
Nd: 0.363 0.009 0.885
Nd: 0.637 0.991 0.115
Nd: 0.646 0.244 0.774
Nd: 0.756 0.226 0.354
Nd: 0.774 0.646 0.244
Nd: 0.885 0.363 0.009
Nd: 0.991 0.115 0.637
Sm: 0.000 0.000 0.000
Sm: 0.109 0.428 0.352
Sm: 0.352 0.109 0.428
Sm: 0.428 0.352 0.109
Sm: 0.572 0.648 0.891
Sm: 0.648 0.891 0.572
Sm: 0.891 0.572 0.648
Er: 0.500 0.500 0.500



# 6
## Mg2CuMo (PBE)

Data for a relaxed structure of Mg2CuMo.

Properties
The total DFT energy (no corrections) comes out at -4.24 eV per atom. For the formation enthalpy at 0 K, the calculation gives 291 meV per atom. The symmetry is R3m, No. 160.

Cell lengths 9.704, 9.704, 9.704 Å; angles 17.01, 17.01, 17.01 degrees
Sites, in units of the cell vectors:
Mg: 0.000 0.000 0.000
Mg: 0.237 0.237 0.237
Cu: 0.492 0.492 0.492
Mo: 0.751 0.751 0.751



# 7
## SrZr2Au (PBE)

Data for a relaxed structure of SrZr2Au.

Properties
The total DFT energy (no corrections) comes out at -5.28 eV per atom. For the formation enthalpy at 0 K, the calculation gives 236 meV per atom. The symmetry is I-42d, No. 122.

Cell lengths 11.893, 11.893, 11.893 Å; angles 159.41, 159.41, 29.28 degrees
Sites, in units of the cell vectors:
Sr: 0.000 0.000 0.000
Sr: 0.750 0.250 0.500
Zr: 0.148 0.625 0.023
Zr: 0.375 0.398 0.523
Zr: 0.602 0.125 0.977
Zr: 0.875 0.852 0.477
Au: 0.250 0.750 0.500
Au: 0.500 0.500 0.000



# 8
## KZnFe (PBE)

Data for a relaxed structure of KZnFe.

Properties
The total DFT energy (no corrections) comes out at -2.74 eV per atom. For the formation enthalpy at 0 K, the calculation gives 869 meV per atom. The symmetry is P-6m2, No. 187.

Cell lengths 5.158, 5.158, 2.801 Å; angles 90.00, 90.00, 120.00 degrees
Sites, in units of the cell vectors:
K: 0.000 0.000 0.000
Zn: 0.667 0.333 0.500
Fe: 0.333 0.667 0.500